Density functional theory data (PBE) for Ca3Dy3CuTe8 after structural relaxation.

Formation energy (no corrections)   -1.24 eV per atom
E_tot   -4.5115 eV per atom
Magnetic moment   0.00 μB/atom

Cell: 8.757 8.755 8.881 Å, 119.53 90.00 120.01°
Positions (direct):
1 Ca 0.000 0.500 0.000
2 Ca 0.500 0.500 0.000
3 Ca 0.000 0.000 0.000
4 Dy 0.500 0.000 0.500
5 Dy 0.000 0.500 0.500
6 Dy 0.500 0.500 0.500
7 Te 0.247 0.008 0.269
8 Te 0.239 0.992 0.731
9 Te 0.748 0.496 0.744
10 Te 0.762 0.525 0.270
11 Te 0.761 0.008 0.269
12 Te 0.252 0.504 0.256
13 Te 0.238 0.475 0.730
14 Te 0.753 0.992 0.731
15 Cu 0.000 0.000 0.500